Compound: CoC
Source: Alexandria via LeMat-Bulk
Functional: GGA-PBE
Structure: optimized geometry

Unit cell a=6.022 b=6.022 c=6.022 alpha=25.21 beta=25.21 gamma=25.21
Fractional positions:
Co 0.000 0.000 0.000
Co 0.208 0.208 0.208
C 0.397 0.397 0.397
C 0.478 0.478 0.478

Calculated values
Spin magnetization (μB/atom): 0.000
DOS at the Fermi energy (states/eV/f.u.): 1.765
Energy of formation from the pure elements (eV/atom): 0.499